VASP calculation (GGA-PBE) on a geometry-optimized CuAsBr2 structure.

Unit cell a=3.3519 b=3.5620 c=8.7152 alpha=90.00 beta=90.00 gamma=90.00
Last column: nearest neighbours and their distance in Å.
Space group Pmm2 (No. 25)
Symmetry-distinct sites (fractional):
Cu: 0.0000 0.0000 0.0000 [1 per cell]  1 Br 2.33, 4 As 2.56
As: 0.5000 0.5000 0.9122 [1 per cell]  1 Br 2.33, 4 Cu 2.56
Br: 0.0000 0.0000 0.2677 [1 per cell]  1 Cu 2.33
Br: 0.5000 0.5000 0.6453 [1 per cell]  1 As 2.33

Output
Volume in Å³/cell: 104
Theoretical density in Mg/m³: 4.76
Distance to the lowest polymorph of the same formula in kJ per mole of atoms: 12.0
Formation energy from raw total energies in kJ per mole of atoms: -6